No. 1
Material: HfCuP2Cl
Method: DFT, GGA-PBE
State: optimized geometry

offset from the most stable computed form = 0.000 eV/atom
energy relative to the elements, uncorrected = 230 meV per atom
raw total energy = -5.1130 eV per atom
magnetic moment = 0.00 μB/atom

a = 5.0147 Å, b = 5.0147 Å, c = 4.8999 Å
α = 90.00°, β = 90.00°, γ = 90.00°
Element x y z (fractional)
P  0.0000  0.5000  0.0000
P  0.5000  0.0000  0.0000
Hf  0.0000  0.0000  0.0000
Cu  0.5000  0.5000  0.5000
Cl  0.0000  0.0000  0.5000



No. 2
Material: HfCuPCl2
Method: DFT, GGA-PBE
State: optimized geometry

offset from the most stable computed form = 0.473 eV/atom
energy relative to the elements, uncorrected = 199 meV per atom
raw total energy = -4.4312 eV per atom
magnetic moment = 0.00 μB/atom

a = 4.2844 Å, b = 4.2844 Å, c = 5.5519 Å
α = 90.00°, β = 90.00°, γ = 90.00°
Element x y z (fractional)
P  0.0000  0.0000  0.5000
Hf  0.5000  0.5000  0.5000
Cu  0.0000  0.0000  0.0000
Cl  0.0000  0.5000  0.0000
Cl  0.5000  0.0000  0.0000



No. 3
Material: HfCu2PdCl
Method: DFT, GGA-PBE
State: optimized geometry

energy relative to the elements, uncorrected = 1022 meV per atom
raw total energy = -4.0146 eV per atom
magnetic moment = 0.00 μB/atom

a = 5.0128 Å, b = 4.9656 Å, c = 5.0128 Å
α = 90.00°, β = 90.00°, γ = 90.00°
Element x y z (fractional)
Hf  0.0000  0.0000  0.0000
Cu  0.0000  0.0000  0.5000
Cu  0.5000  0.0000  0.0000
Pd  0.0000  0.5000  0.0000
Cl  0.5000  0.5000  0.5000



No. 4
Material: RbHfCu2Cl8
Method: DFT, GGA-PBE
State: optimized geometry

energy relative to the elements, uncorrected = -1317 meV per atom
raw total energy = -4.1407 eV per atom
magnetic moment = 0.09 μB/atom

a = 6.2904 Å, b = 7.0075 Å, c = 9.4137 Å
α = 61.00°, β = 85.37°, γ = 93.91°
Site moments in Bohr magnetons follow the coordinates.
Element x y z (fractional)
Rb  0.0000  0.0000  0.5000  0.00
Hf  0.0000  0.0000  0.0000  0.00
Cu  0.5028  0.3415  0.6793  0.35
Cu  0.4972  0.6585  0.3207  0.35
Cl  0.1174  0.7358  0.2656  0.01
Cl  0.6582  0.7506  0.0692  0.02
Cl  0.8398  0.1869  0.1319  0.00
Cl  0.8826  0.2642  0.7344  0.01
Cl  0.3418  0.2494  0.9308  0.02
Cl  0.1602  0.8131  0.8681  0.00
Cl  0.4988  0.7191  0.5325  0.11
Cl  0.5012  0.2809  0.4675  0.11



No. 5
Material: HfTlCuCl6
Method: DFT, GGA-PBE
State: optimized geometry

energy relative to the elements, uncorrected = -1329 meV per atom
raw total energy = -4.3838 eV per atom
magnetic moment = 0.01 μB/atom

a = 6.5689 Å, b = 6.5689 Å, c = 14.2989 Å
α = 90.00°, β = 90.00°, γ = 120.00°
Site moments in Bohr magnetons follow the coordinates.
Element x y z (fractional)
Hf  0.6667  0.3333  0.2500  0.00
Hf  0.3333  0.6667  0.7500  0.00
Tl  0.0000  0.0000  0.0000  0.00
Tl  0.0000  0.0000  0.5000  0.00
Cu  0.3333  0.6667  0.2500  0.10
Cu  0.6667  0.3333  0.7500  0.10
Cl  0.6336  0.6226  0.1503  0.00
Cl  0.9890  0.3664  0.1503  0.00
Cl  0.3664  0.9890  0.6503  0.00
Cl  0.0110  0.6336  0.8497  0.00
Cl  0.3774  0.3664  0.3497  0.00
Cl  0.9890  0.6226  0.3497  0.00
Cl  0.6226  0.9890  0.8497  0.00
Cl  0.6336  0.0110  0.3497  0.00
Cl  0.0110  0.3774  0.6503  0.00
Cl  0.3774  0.0110  0.1503  0.00
Cl  0.6226  0.6336  0.6503  0.00
Cl  0.3664  0.3774  0.8497  0.00



No. 6
Material: Hf2TlCuCl
Method: DFT, GGA-PBE
State: optimized geometry

energy relative to the elements, uncorrected = 656 meV per atom
raw total energy = -4.9873 eV per atom
magnetic moment = 0.00 μB/atom

a = 5.1184 Å, b = 4.3601 Å, c = 5.1184 Å
α = 90.00°, β = 90.00°, γ = 90.00°
Element x y z (fractional)
Tl  0.5000  0.5000  0.5000
Hf  0.0000  0.0000  0.5000
Hf  0.5000  0.0000  0.0000
Cu  0.0000  0.0000  0.0000
Cl  0.0000  0.5000  0.0000